Version P
Below is a geometry-optimized SnAsAu structure, with properties calculated at the PBE level.

Structure (POSCAR):
```
SnAsAu
1.0
2.937 0.000 0.000
0.000 2.937 0.000
0.000 0.000 15.897
Sn As Au
2 2 2
Direct
0.000 0.000 0.000
0.500 0.500 0.500
0.000 0.000 0.811
0.500 0.500 0.311
0.000 0.000 0.648
0.500 0.500 0.148
```

* DOS at the Fermi energy: 2.74 states/eV/cell
* magnetic moment: 0.00 μB per formula unit

***

Version Q
Below is a geometry-optimized SnAsAu structure, with properties calculated at the PBE level.

Structure (POSCAR):
```
SnAsAu
1.0
8.654 0.000 0.000
0.000 5.439 0.000
0.000 0.000 5.948
Sn As Au
4 4 4
Direct
0.116 0.250 0.041
0.384 0.750 0.541
0.616 0.250 0.459
0.884 0.750 0.959
0.021 0.250 0.521
0.479 0.750 0.021
0.521 0.250 0.979
0.979 0.750 0.479
0.192 0.750 0.148
0.308 0.250 0.648
0.692 0.750 0.352
0.808 0.250 0.852
```

* DOS at the Fermi energy: 5.81 states/eV/cell
* magnetic moment: 0.00 μB per formula unit

***

Version R
Below is a geometry-optimized SnAsAu structure, with properties calculated at the PBE level.

Structure (POSCAR):
```
SnAsAu
1.0
3.969 0.000 0.000
-1.984 3.437 0.000
0.000 0.000 4.936
Sn As Au
1 1 1
Direct
0.000 0.000 0.000
0.667 0.333 0.359
0.333 0.667 0.651
```

* DOS at the Fermi energy: 1.33 states/eV/cell
* magnetic moment: 0.00 μB per formula unit

***

Version S
Below is a geometry-optimized SnAsAu structure, with properties calculated at the PBE level.

Structure (POSCAR):
```
SnAsAu
1.0
6.583 0.000 0.000
0.000 6.583 0.000
0.000 0.000 6.583
Sn As Au
4 4 4
Direct
0.000 0.000 0.000
0.000 0.500 0.500
0.500 0.000 0.500
0.500 0.500 0.000
0.000 0.000 0.500
0.000 0.500 0.000
0.500 0.000 0.000
0.500 0.500 0.500
0.250 0.250 0.750
0.250 0.750 0.250
0.750 0.250 0.250
0.750 0.750 0.750
```

* DOS at the Fermi energy: 3.84 states/eV/cell
* magnetic moment: 0.00 μB per formula unit

***

The structure with the least stability is version P.

***

Version P
Below is a geometry-optimized Sn2As2Au structure, with properties calculated at the PBE level.

Structure (POSCAR):
```
Sn2As2Au
1.0
7.929 0.000 0.000
0.000 7.929 0.000
0.000 0.000 3.705
Sn As Au
4 4 2
Direct
0.166 0.334 0.000
0.334 0.834 0.000
0.666 0.166 0.000
0.834 0.666 0.000
0.131 0.631 0.500
0.369 0.131 0.500
0.631 0.869 0.500
0.869 0.369 0.500
0.000 0.000 0.000
0.500 0.500 0.000
```

* DOS at the Fermi energy: 6.39 states/eV/cell
* magnetic moment: 0.00 μB per formula unit

***

Version Q
Below is a geometry-optimized Sn2As2Au structure, with properties calculated at the PBE level.

Structure (POSCAR):
```
Sn2As2Au
1.0
5.567 0.000 0.000
0.000 5.567 0.000
0.000 0.000 8.097
Sn As Au
4 4 2
Direct
0.000 0.500 0.250
0.000 0.500 0.750
0.500 0.000 0.250
0.500 0.000 0.750
0.000 0.000 0.180
0.000 0.000 0.820
0.500 0.500 0.320
0.500 0.500 0.680
0.000 0.000 0.500
0.500 0.500 0.000
```

* DOS at the Fermi energy: 3.82 states/eV/cell
* magnetic moment: 0.00 μB per formula unit

***

The structure with the least stability is version P.

***

Version P
Below is a geometry-optimized Sn2As2Au structure, with properties calculated at the PBE level.

Structure (POSCAR):
```
Sn2As2Au
1.0
7.710 0.000 0.000
0.000 7.710 0.000
0.000 0.000 3.958
Sn As Au
4 4 2
Direct
0.150 0.350 0.000
0.350 0.850 0.000
0.650 0.150 0.000
0.850 0.650 0.000
0.169 0.669 0.500
0.331 0.169 0.500
0.669 0.831 0.500
0.831 0.331 0.500
0.000 0.000 0.500
0.500 0.500 0.500
```

* DOS at the Fermi energy: 3.77 states/eV/cell
* magnetic moment: 0.00 μB per formula unit

***

Version Q
Below is a geometry-optimized Sn2As2Au structure, with properties calculated at the PBE level.

Structure (POSCAR):
```
Sn2As2Au
1.0
3.791 0.000 0.000
0.000 3.791 0.000
0.000 0.000 16.480
Sn As Au
4 4 2
Direct
0.000 0.000 0.095
0.000 0.000 0.905
0.500 0.500 0.405
0.500 0.500 0.595
0.000 0.500 0.250
0.000 0.500 0.750
0.500 0.000 0.250
0.500 0.000 0.750
0.000 0.000 0.500
0.500 0.500 0.000
```

* DOS at the Fermi energy: 4.90 states/eV/cell
* magnetic moment: 0.00 μB per formula unit

***

The structure with the least stability is version P.

***

Version P
Below is a geometry-optimized SnAsAu2 structure, with properties calculated at the PBE level.

Structure (POSCAR):
```
SnAsAu2
1.0
4.872 0.000 0.000
0.000 4.872 0.000
0.000 0.000 16.226
Sn As Au
4 4 8
Direct
0.000 0.000 0.000
0.000 0.500 0.250
0.500 0.000 0.750
0.500 0.500 0.500
0.000 0.000 0.500
0.000 0.500 0.750
0.500 0.000 0.250
0.500 0.500 0.000
0.188 0.250 0.625
0.250 0.688 0.875
0.250 0.812 0.375
0.312 0.250 0.125
0.688 0.750 0.125
0.750 0.188 0.375
0.750 0.312 0.875
0.812 0.750 0.625
```

* DOS at the Fermi energy: 5.93 states/eV/cell
* magnetic moment: 0.00 μB per formula unit

***

Version Q
Below is a geometry-optimized SnAsAu2 structure, with properties calculated at the PBE level.

Structure (POSCAR):
```
SnAsAu2
1.0
3.997 0.000 0.000
-1.998 3.461 0.000
0.000 0.000 19.061
Sn As Au
3 3 6
Direct
0.000 0.000 0.000
0.333 0.667 0.667
0.667 0.333 0.333
0.000 0.000 0.500
0.333 0.667 0.167
0.667 0.333 0.833
0.000 0.000 0.242
0.000 0.000 0.758
0.333 0.667 0.425
0.333 0.667 0.909
0.667 0.333 0.091
0.667 0.333 0.575
```

* DOS at the Fermi energy: 6.31 states/eV/cell
* magnetic moment: 0.00 μB per formula unit

***

Version R
Below is a geometry-optimized SnAsAu2 structure, with properties calculated at the PBE level.

Structure (POSCAR):
```
SnAsAu2
1.0
6.904 0.000 0.000
0.000 6.904 0.000
0.000 0.000 6.904
Sn As Au
4 4 8
Direct
0.000 0.000 0.000
0.000 0.500 0.500
0.500 0.000 0.500
0.500 0.500 0.000
0.000 0.000 0.500
0.000 0.500 0.000
0.500 0.000 0.000
0.500 0.500 0.500
0.250 0.250 0.250
0.250 0.250 0.750
0.250 0.750 0.250
0.250 0.750 0.750
0.750 0.250 0.250
0.750 0.250 0.750
0.750 0.750 0.250
0.750 0.750 0.750
```

* DOS at the Fermi energy: 9.33 states/eV/cell
* magnetic moment: 0.00 μB per formula unit

***

The structure with the least stability is version R.

***

Version P
Below is a geometry-optimized Sr2AsAu2 structure, with properties calculated at the PBE level.

Structure (POSCAR):
```
Sr2AsAu2
1.0
7.786 0.000 0.000
0.000 7.786 0.000
0.000 0.000 4.443
Sr As Au
4 2 4
Direct
0.182 0.318 0.000
0.318 0.818 0.000
0.682 0.182 0.000
0.818 0.682 0.000
0.000 0.000 0.500
0.500 0.500 0.500
0.126 0.626 0.500
0.374 0.126 0.500
0.626 0.874 0.500
0.874 0.374 0.500
```

* DOS at the Fermi energy: 4.57 states/eV/cell
* magnetic moment: 0.00 μB per formula unit

***

Version Q
Below is a geometry-optimized Sr2AsAu2 structure, with properties calculated at the PBE level.

Structure (POSCAR):
```
Sr2AsAu2
1.0
6.021 0.000 0.000
0.000 6.021 0.000
0.000 0.000 8.206
Sr As Au
4 2 4
Direct
0.000 0.500 0.250
0.000 0.500 0.750
0.500 0.000 0.250
0.500 0.000 0.750
0.000 0.000 0.000
0.500 0.500 0.500
0.000 0.000 0.338
0.000 0.000 0.662
0.500 0.500 0.162
0.500 0.500 0.838
```

* DOS at the Fermi energy: 4.20 states/eV/cell
* magnetic moment: 0.00 μB per formula unit

***

The structure with the least stability is version Q.

***

Version P
Below is a geometry-optimized TaAsAu3 structure, with properties calculated at the PBE level.

Structure (POSCAR):
```
TaAsAu3
1.0
4.779 0.000 0.000
0.000 4.779 0.000
0.000 0.000 4.779
Ta As Au
1 1 3
Direct
0.000 0.000 0.000
0.500 0.500 0.500
0.000 0.500 0.500
0.500 0.000 0.500
0.500 0.500 0.000
```

* DOS at the Fermi energy: 2.87 states/eV/cell
* magnetic moment: 0.00 μB per formula unit

***

Version Q
Below is a geometry-optimized TaAsAu3 structure, with properties calculated at the PBE level.

Structure (POSCAR):
```
TaAsAu3
1.0
5.095 0.000 0.000
0.000 5.095 0.000
0.000 0.000 5.095
Ta As Au
1 1 3
Direct
0.000 0.000 0.000
0.500 0.500 0.500
0.000 0.000 0.500
0.000 0.500 0.000
0.500 0.000 0.000
```

* DOS at the Fermi energy: 5.34 states/eV/cell
* magnetic moment: 0.00 μB per formula unit

***

The structure with the least stability is version Q.

***

Version P
Below is a geometry-optimized TcAs2Au structure, with properties calculated at the PBE level.

Structure (POSCAR):
```
TcAs2Au
1.0
3.110 0.000 0.000
0.000 4.882 0.000
0.000 0.000 9.917
Tc As Au
2 4 2
Direct
0.000 0.000 0.000
0.500 0.500 0.000
0.000 0.000 0.474
0.000 0.500 0.811
0.500 0.000 0.811
0.500 0.500 0.474
0.000 0.500 0.244
0.500 0.000 0.244
```

* DOS at the Fermi energy: 6.16 states/eV/cell
* magnetic moment: 0.00 μB per formula unit

***

Version Q
Below is a geometry-optimized TcAs2Au structure, with properties calculated at the PBE level.

Structure (POSCAR):
```
TcAs2Au
1.0
8.425 0.000 0.000
0.000 3.157 0.000
-0.823 0.000 5.192
Tc As Au
2 4 2
Direct
0.000 0.000 0.000
0.500 0.500 0.000
0.225 0.500 0.210
0.275 0.000 0.790
0.725 0.000 0.210
0.775 0.500 0.790
0.000 0.500 0.500
0.500 0.000 0.500
```

* DOS at the Fermi energy: 4.92 states/eV/cell
* magnetic moment: 0.00 μB per formula unit

***

The structure with the least stability is version P.

***

Version P
Below is a geometry-optimized TcAs2Au structure, with properties calculated at the PBE level.

Structure (POSCAR):
```
TcAs2Au
1.0
5.840 0.000 0.000
0.000 5.840 0.000
0.000 0.000 10.908
Tc As Au
4 8 4
Direct
0.000 0.000 0.000
0.000 0.500 0.250
0.500 0.000 0.750
0.500 0.500 0.500
0.222 0.250 0.125
0.250 0.722 0.375
0.250 0.778 0.875
0.278 0.250 0.625
0.722 0.750 0.625
0.750 0.222 0.875
0.750 0.278 0.375
0.778 0.750 0.125
0.000 0.000 0.500
0.000 0.500 0.750
0.500 0.000 0.250
0.500 0.500 0.000
```

* DOS at the Fermi energy: 10.55 states/eV/cell
* magnetic moment: 0.00 μB per formula unit

***

Version Q
Below is a geometry-optimized TcAs2Au structure, with properties calculated at the PBE level.

Structure (POSCAR):
```
TcAs2Au
1.0
3.008 0.000 0.000
0.000 3.781 0.000
0.000 0.000 12.854
Tc As Au
2 4 2
Direct
0.000 0.000 0.000
0.500 0.500 0.500
0.000 0.000 0.437
0.000 0.500 0.657
0.500 0.000 0.157
0.500 0.500 0.937
0.000 0.500 0.281
0.500 0.000 0.781
```

* DOS at the Fermi energy: 4.26 states/eV/cell
* magnetic moment: 0.00 μB per formula unit

***

The structure with the least stability is version P.